No. 1
Material: Rb3Er3ThSe8
Method: DFT, PBE-GGA
State: optimized geometry

- raw total energy (eV per cell) = -78.10
- DOS(E_F) (states/eV per atom) = 0.00
- raw formation energy (eV per atom) = -1.7472
- crystal system = trigonal
- theoretical density (Mg/m³) = 5.41

Unit cell a=9.476 b=9.476 c=9.476 alpha=52.64 beta=52.64 gamma=52.64
Fractional positions:
Rb: 0.000 0.500 0.500
Rb: 0.500 0.000 0.500
Rb: 0.500 0.500 0.000
Er: 0.000 0.000 0.500
Er: 0.000 0.500 0.000
Er: 0.500 0.000 0.000
Th: 0.500 0.500 0.500
Se: 0.225 0.734 0.734
Se: 0.231 0.231 0.231
Se: 0.266 0.266 0.775
Se: 0.266 0.775 0.266
Se: 0.734 0.225 0.734
Se: 0.734 0.734 0.225
Se: 0.769 0.769 0.769
Se: 0.775 0.266 0.266

***

No. 2
Material: Pr2Sm5Tm4
Method: DFT, PBE-GGA
State: optimized geometry

- energy relative to the elements (eV per atom) = 0.022
- raw total energy (eV per cell) = -50.80
- DOS(E_F) (states/eV per atom) = 1.40
- crystal system = monoclinic
- theoretical density (Mg/m³) = 7.86

Unit cell a=11.920 b=11.920 c=8.798 alpha=104.29 beta=104.29 gamma=17.35
Fractional positions:
Pr: 0.090 0.090 0.223
Pr: 0.910 0.910 0.777
Sm: 0.000 0.000 0.500
Sm: 0.273 0.273 0.687
Sm: 0.363 0.363 0.406
Sm: 0.637 0.637 0.594
Sm: 0.727 0.727 0.313
Tm: 0.182 0.182 0.954
Tm: 0.453 0.453 0.137
Tm: 0.547 0.547 0.863
Tm: 0.818 0.818 0.046

***

Question: What is the theoretical density in the first record?
Answer: 5.41 Mg/m³